# Tb14ErTh

Tb14ErTh after structural relaxation (PBE, Alexandria via LeMat-Bulk).

Formation energy   16 meV per atom

```
data_Tb14ErTh
_chemical_formula_sum 'Tb14 Er1 Th1'
_space_group_name_H-M_alt 'P 4/m m m'
_space_group_IT_number 123
_space_group_name_Hall '-P 4 2'
_cell_length_a 7.118
_cell_length_b 7.118
_cell_length_c 10.063
_cell_angle_alpha 90.00
_cell_angle_beta 90.00
_cell_angle_gamma 90.00
loop_
_atom_site_label
_atom_site_type_symbol
_atom_site_fract_x
_atom_site_fract_y
_atom_site_fract_z
Tb1 Tb 0.000 0.000 0.000
Tb2 Tb 0.000 0.500 0.000
Tb3 Tb 0.000 0.500 0.500
Tb4 Tb 0.248 0.248 0.252
Tb5 Tb 0.500 0.500 0.000
Er1 Er 0.500 0.500 0.500
Th1 Th 0.000 0.000 0.500
```

=====

# Tb16Er6Th7

Tb16Er6Th7 after structural relaxation (PBE, Alexandria via LeMat-Bulk).

Formation energy   290 meV per atom

```
data_Tb16Er6Th7
_chemical_formula_sum 'Tb64 Er24 Th28'
_space_group_name_H-M_alt 'F m -3 m'
_space_group_IT_number 225
_space_group_name_Hall '-F 4 2 3'
_cell_length_a 15.900
_cell_length_b 15.900
_cell_length_c 15.900
_cell_angle_alpha 90.00
_cell_angle_beta 90.00
_cell_angle_gamma 90.00
loop_
_atom_site_label
_atom_site_type_symbol
_atom_site_fract_x
_atom_site_fract_y
_atom_site_fract_z
Tb1 Tb 0.130 0.130 0.130
Tb2 Tb 0.152 0.152 0.348
Er1 Er 0.000 0.000 0.251
Th1 Th 0.000 0.000 0.000
Th2 Th 0.000 0.250 0.250
```

=====

# TbErTh

TbErTh after structural relaxation (PBE, Alexandria via LeMat-Bulk).

Energy above the most stable polymorph in this dataset   0.0022 eV per atom
Formation energy   22 meV per atom

```
data_TbErTh
_chemical_formula_sum 'Tb1 Er1 Th1'
_space_group_name_H-M_alt 'P 3 m 1'
_space_group_IT_number 156
_space_group_name_Hall 'P 3 -2"'
_cell_length_a 3.5641
_cell_length_b 3.5641
_cell_length_c 8.6410
_cell_angle_alpha 90.00
_cell_angle_beta 90.00
_cell_angle_gamma 120.00
loop_
_atom_site_label
_atom_site_type_symbol
_atom_site_fract_x
_atom_site_fract_y
_atom_site_fract_z
Tb1 Tb 0.0000 0.0000 0.0000
Er1 Er 0.6667 0.3333 0.3446
Th1 Th 0.3333 0.6667 0.6703
```

=====

# Tb2Er3Th3

Tb2Er3Th3 after structural relaxation (PBE, Alexandria via LeMat-Bulk).

Energy above the most stable polymorph in this dataset   0.0000 eV per atom
Formation energy   38 meV per atom

```
data_Tb2Er3Th3
_chemical_formula_sum 'Tb4 Er6 Th6'
_space_group_name_H-M_alt 'I m m m'
_space_group_IT_number 71
_space_group_name_Hall '-I 2 2'
_cell_length_a 4.995
_cell_length_b 5.021
_cell_length_c 20.205
_cell_angle_alpha 90.00
_cell_angle_beta 90.00
_cell_angle_gamma 90.00
loop_
_atom_site_label
_atom_site_type_symbol
_atom_site_fract_x
_atom_site_fract_y
_atom_site_fract_z
Tb1 Tb 0.000 0.000 0.250
Er1 Er 0.000 0.000 0.000
Er2 Er 0.000 0.500 0.376
Th1 Th 0.000 0.000 0.500
Th2 Th 0.000 0.500 0.123
```